{
  "formula": "CsNa2MoF6",
  "functional": "PBE with a Hubbard U",
  "state": "optimized geometry",
  "cell": [[-0.179, -5.643, -3.092], [5.147, -1.935, 3.234], [-5.169, -3.228, 6.293]],
  "species": ["Cs", "Cs", "Na", "Na", "Na", "Na", "Mo", "Mo", "F", "F", "F", "F", "F", "F", "F", "F", "F", "F", "F", "F"],
  "fractional_positions": [[0.500, 0.000, 0.000], [0.000, 0.500, 0.500], [0.025, 0.964, 0.209], [0.525, 0.536, 0.709], [0.975, 0.036, 0.791], [0.475, 0.464, 0.291], [0.500, 0.000, 0.500], [0.000, 0.500, 0.000], [0.190, 0.623, 0.178], [0.690, 0.877, 0.678], [0.810, 0.377, 0.822], [0.310, 0.123, 0.322], [0.395, 0.691, 0.484], [0.895, 0.809, 0.984], [0.605, 0.309, 0.516], [0.105, 0.191, 0.016], [0.764, 0.420, 0.156], [0.264, 0.080, 0.656], [0.236, 0.580, 0.844], [0.736, 0.920, 0.344]],
  "vol_a3_per_atom": 18.0,
  "total_energy_ev_per_atom": -4.90,
  "spacegroup": "P2_1/c (14)"
}